Version a
DFT (GGA-PBE) results for an optimized crystal structure of YAgNF2.

a = 4.323 Å, b = 4.323 Å, c = 4.715 Å
α = 90.00°, β = 90.00°, γ = 90.00°
Fractional coordinates of all 5 atoms:
1 Ag 0.500 0.500 0.500
2 Y 0.000 0.000 0.000
3 F 0.000 0.500 0.000
4 F 0.500 0.000 0.000
5 N 0.000 0.000 0.500

Values from the calculation:
crystal system: tetragonal


Version b
DFT (GGA-PBE) results for an optimized crystal structure of YAgNF2.

a = 4.201 Å, b = 6.150 Å, c = 4.201 Å
α = 90.00°, β = 90.00°, γ = 90.00°
Fractional coordinates of all 5 atoms:
1 Ag 0.000 0.500 0.000
2 Y 0.000 0.000 0.000
3 F 0.000 0.000 0.500
4 F 0.500 0.000 0.000
5 N 0.500 0.500 0.500

Values from the calculation:
crystal system: tetragonal


Version c
DFT (GGA-PBE) results for an optimized crystal structure of YAgNF2.

a = 4.195 Å, b = 4.195 Å, c = 4.333 Å
α = 90.00°, β = 90.00°, γ = 90.00°
Fractional coordinates of all 5 atoms:
1 F 0.000 0.500 0.000
2 Ag 0.000 0.000 0.000
3 F 0.500 0.000 0.000
4 N 0.000 0.000 0.500
5 Y 0.500 0.500 0.500

Values from the calculation:
crystal system: tetragonal


Most stable: version a. Least stable: version c.